Ca3WCl2O5 PBE with a Hubbard U relaxed; spin magnetization = 0.0 μB per formula unit; crystal system = orthorhombic; final energy = -6.408 eV/atom
1.0
11.9612 0.0000 0.0000
0.0000 5.6845 0.0000
0.0000 0.0000 11.2910
Ca W Cl O
12 4 8 20
direct
0.1388 0.2500 0.1664
0.1592 0.7500 0.4214
0.1690 0.2500 0.6706
0.3310 0.7500 0.1706
0.3408 0.2500 0.9214
0.3612 0.7500 0.6664
0.6388 0.2500 0.3336
0.6592 0.7500 0.0786
0.6690 0.2500 0.8294
0.8310 0.7500 0.3294
0.8408 0.2500 0.5786
0.8612 0.7500 0.8336
0.1921 0.7500 0.9156
0.3079 0.2500 0.4156
0.6921 0.7500 0.5844
0.8079 0.2500 0.0844
0.0285 0.2500 0.4208
0.0323 0.7500 0.2182
0.4677 0.2500 0.7182
0.4715 0.7500 0.9208
0.5285 0.2500 0.0792
0.5323 0.7500 0.2818
0.9677 0.2500 0.7818
0.9715 0.7500 0.5792
0.0439 0.7500 0.9083
0.2345 0.5165 0.0337
0.2345 0.9835 0.0337
0.2420 0.5216 0.8007
0.2420 0.9784 0.8007
0.2580 0.0216 0.3007
0.2580 0.4784 0.3007
0.2655 0.0165 0.5337
0.2655 0.4835 0.5337
0.4561 0.2500 0.4083
0.5439 0.7500 0.5917
0.7345 0.5165 0.4663
0.7345 0.9835 0.4663
0.7420 0.5216 0.6993
0.7420 0.9784 0.6993
0.7580 0.0216 0.1993
0.7580 0.4784 0.1993
0.7655 0.0165 0.9663
0.7655 0.4835 0.9663
0.9561 0.2500 0.0917